No. 1
12
Lattice="6.983 0.007 0.001 -3.483 6.052 0.001 -1.167 -2.020 6.596" Properties=species:S:1:pos:R:3 comment="Nd3YTh2S6, optimized geometry, DFT PBE" energy_ev_per_atom=-6.98 e_form_raw_ev_per_atom=-1.945 sg="C2/m, No. 12" pbc="T T T"
Th 0.005 4.037 0.001
Y 0.000 0.000 0.000
S 0.047 4.037 4.987
Th 3.494 2.022 0.001
S 2.285 0.001 1.610
S 3.473 2.059 4.987
Nd 4.646 0.010 3.299
Nd -2.314 4.029 3.299
Nd 1.166 2.019 3.299
S -1.141 1.980 1.610
S -0.022 -0.038 4.979
S 2.355 4.077 1.618

=====

No. 2
23
Lattice="-4.839 2.044 -2.539 2.945 -4.063 -8.882 -5.698 -5.458 6.466" Properties=species:S:1:pos:R:3 comment="Nd6Ti3S14, optimized geometry, DFT PBE" energy_ev_per_atom=-6.56 e_form_raw_ev_per_atom=-1.778 sg="P3, No. 143" pbc="T T T"
S -4.074 -2.372 -0.645
Nd 0.548 -3.308 -7.059
S -2.282 -4.509 -2.632
Nd -7.888 -5.564 0.494
S -9.513 -3.617 2.087
Nd -2.532 -6.919 -4.095
Nd -5.253 -3.704 -3.029
Nd -6.203 -1.111 0.868
Nd -1.454 -1.824 -2.049
Ti -2.251 -3.550 -4.981
S -2.165 0.914 -1.136
S -4.326 -4.994 -5.372
S -2.274 -2.601 -7.356
S -7.321 -5.732 -3.792
S -0.929 -5.469 -5.984
Ti -4.460 -4.299 0.488
S -5.325 -5.777 -1.000
S -3.600 -1.599 -4.023
S -6.090 -3.858 2.002
S -7.426 -3.046 -1.069
S -5.836 0.374 -1.707
Ti -4.039 1.706 -2.119
S -0.227 -2.072 -4.588

=====

No. 3
80
Lattice="13.265 0.000 0.000 -4.422 12.507 0.000 -4.422 -6.253 10.831" Properties=species:S:1:pos:R:3 comment="Nd3Ti5S12, optimized geometry, DFT PBE" energy_ev_per_atom=-6.67 e_form_raw_ev_per_atom=-1.501 sg="Ia-3d, No. 230" pbc="T T T"
S -3.354 10.656 1.295
S -1.670 -0.707 5.105
S 1.670 4.605 7.356
S 8.302 0.707 5.105
Ti 1.105 -3.127 8.123
S 1.574 -1.671 9.846
S 0.541 7.902 7.356
S 4.311 2.200 6.401
S -2.321 -4.937 10.521
Ti -4.422 3.127 5.416
S -5.489 3.323 7.666
S -0.541 0.941 2.250
S 1.574 1.689 9.876
Nd 9.949 0.000 2.708
Ti 3.316 2.345 1.354
Ti 2.211 3.127 5.416
S 5.058 1.671 9.846
Ti 0.000 0.000 0.000
S 8.733 1.317 0.310
S 2.101 8.453 4.430
S 6.743 11.190 0.310
Ti 3.316 9.380 2.708
Nd 7.738 8.598 1.354
Nd 1.105 6.253 2.708
S 2.848 7.925 0.985
Ti 7.738 -0.782 6.769
Ti 5.527 3.127 8.123
S 2.752 1.648 3.475
S 3.881 -1.648 3.475
S -1.143 4.403 9.536
Nd 5.527 0.782 4.062
S -4.311 4.937 10.521
Ti -2.211 -3.127 5.416
S -4.532 8.990 4.120
Ti -1.105 3.127 2.708
S 6.091 6.961 5.726
Ti 5.527 5.472 4.062
S 9.480 6.271 1.940
S 0.110 4.054 4.430
S -3.881 5.546 5.726
Nd 3.316 0.000 8.123
S -0.637 7.942 0.955
S -5.058 -0.017 8.891
S -0.637 4.582 0.985
S 8.954 -2.737 6.711
S 7.174 -0.941 2.250
Ti 4.422 6.253 0.000
S 5.489 -1.080 6.370
Ti -1.105 10.162 1.354
Nd 3.316 7.035 6.769
S 1.143 1.080 6.370
Nd 7.738 3.908 1.354
S 5.565 9.576 3.165
S 5.996 6.236 1.940
Nd -5.527 6.253 8.123
S -1.574 0.017 8.891
Nd -3.316 -2.345 9.477
S -1.068 7.333 4.461
Nd -3.316 2.345 9.477
S 3.278 5.174 4.461
Ti 4.422 -3.127 5.416
S 5.058 -1.689 9.876
S -2.321 2.737 6.711
Nd 1.105 -0.782 4.062
S 2.321 -2.200 6.401
S -1.143 -3.323 7.666
S 9.911 2.930 3.165
Nd -1.105 5.472 6.769
Ti -3.316 7.035 4.062
S 7.776 -4.403 9.536
S -2.752 7.194 8.581
S 6.743 3.516 4.120
Ti 5.527 -3.908 9.477
Ti -2.211 6.253 0.000
Ti 6.633 0.000 0.000
Ti 1.105 3.908 9.477
S 4.963 5.312 8.581
Ti -1.105 0.782 6.769
S 2.848 4.564 0.955
S 5.565 1.851 1.295

=====

No. 4
12
Lattice="6.926 0.004 -0.004 -3.458 6.001 -0.004 -1.160 -2.009 7.502" Properties=species:S:1:pos:R:3 comment="Nd2TiTl3S6, optimized geometry, DFT PBE" energy_ev_per_atom=-5.35 e_form_raw_ev_per_atom=-1.240 sg="C2/m, No. 12" pbc="T T T"
Ti 0.000 0.000 0.000
Tl 1.154 1.998 3.748
S -1.044 1.805 1.453
Tl 4.562 0.030 3.748
S 0.223 3.999 6.042
S 3.352 2.191 6.042
S 2.085 -0.002 1.453
Nd 3.452 2.010 -0.004
Tl -2.254 3.966 3.748
S 2.411 4.175 1.533
S -0.103 -0.179 5.962
Nd 0.016 3.995 -0.004

=====

No. 5
80
Lattice="14.002 0.000 0.000 -4.667 13.201 0.000 -4.667 -6.601 11.433" Properties=species:S:1:pos:R:3 comment="Nd3Tl5S12, optimized geometry, DFT PBE" energy_ev_per_atom=-4.56 e_form_raw_ev_per_atom=-0.773 sg="Ia-3d, No. 230" pbc="T T T"
S -2.440 -5.149 10.908
Tl 5.834 5.776 4.287
S 6.375 7.317 6.241
S 9.228 1.452 0.525
S 7.628 -0.838 2.500
Nd 3.501 0.000 8.574
S -0.627 0.838 2.500
Tl 4.667 6.601 0.000
Tl -1.167 10.726 1.429
S -1.335 -3.612 8.216
S -1.707 -0.717 5.192
Tl 8.168 -0.825 7.145
S 5.666 -0.980 6.696
Nd 1.167 -0.825 4.287
Nd 10.502 0.000 2.858
S 2.227 8.721 4.721
Nd 8.168 4.125 1.429
S 0.107 4.481 4.721
Nd 1.167 6.601 2.858
Tl 0.000 0.000 0.000
Tl -1.167 3.300 2.858
S -1.855 0.009 9.457
S -0.999 7.580 4.736
S 5.146 1.706 10.437
Tl -3.501 7.426 4.287
Tl 5.834 3.300 8.574
Tl 1.167 -3.300 8.574
Nd 3.501 7.426 7.145
S -5.666 3.612 8.216
S -4.041 5.884 6.241
S 7.108 11.749 0.525
S 6.522 6.592 1.975
S 2.440 -2.120 6.711
S -2.960 7.438 8.933
S 2.812 4.886 0.980
S 4.561 2.120 6.711
Tl 7.001 0.000 0.000
S -3.669 11.192 1.520
Tl 5.834 -4.125 10.004
Tl -1.167 0.825 7.145
S -2.440 3.029 7.236
S -4.774 9.629 4.197
S 1.707 5.046 7.692
S 2.960 1.554 3.741
Nd 8.168 9.076 1.429
S 7.108 3.572 4.197
S 5.294 5.763 8.933
Nd -5.834 6.601 8.574
Nd -1.167 5.776 7.145
S 8.336 -4.591 9.913
Nd -3.501 -2.475 10.004
Tl 3.501 9.901 2.858
S 0.627 8.155 7.692
S -0.479 4.894 0.995
S 5.146 -1.715 10.452
S -5.146 -0.009 9.457
S 10.333 2.989 3.216
S 1.335 0.980 6.696
S 2.812 8.307 0.995
Tl 4.667 -3.300 5.716
Tl 2.334 3.300 5.716
S 8.708 0.717 5.192
S 3.332 5.621 4.736
S -0.479 8.316 0.980
S 6.002 2.009 1.520
Tl -2.334 -3.300 5.716
S 6.002 10.212 3.216
S 1.855 1.715 10.452
Tl 1.167 4.125 10.004
Nd 5.834 0.825 4.287
S 4.041 -1.554 3.741
Nd -3.501 2.475 10.004
Tl -4.667 3.300 5.716
S -4.561 5.149 10.908
S 9.813 6.609 1.975
S -1.335 4.591 9.913
Tl -2.334 6.601 0.000
Tl 3.501 2.475 1.429
S 1.855 -1.706 10.437
S 9.441 -3.029 7.236

=====

No. 6
11
Lattice="4.207 0.000 0.000 2.104 3.644 0.000 2.104 1.215 24.210" Properties=species:S:1:pos:R:3 comment="Nd2Tl4S5, optimized geometry, DFT PBE" energy_ev_per_atom=-4.56 e_form_raw_ev_per_atom=-0.959 sg="R-3m, No. 166" pbc="T T T"
S 4.207 2.429 3.040
Tl 6.311 3.644 22.643
Nd 2.104 1.215 13.919
Tl 2.104 1.215 1.567
S 4.207 2.429 21.170
S 4.207 2.429 12.105
S 6.311 3.644 15.188
Tl 4.207 2.429 5.613
Tl 4.207 2.429 18.597
Nd 6.311 3.644 10.291
S 2.104 1.215 9.022